Record 1
DFT (GGA-PBEsol) results for a relaxed Li3MnP crystal.

Values from the calculation:
Calculated total energy, eV/atom: -4.048
Space group: Pm-3m, No. 221
Formation enthalpy at 0 K, meV per atom: 243
Theoretical density, g cm⁻³: 1.8

The structure in POSCAR format:
```
Li3MnP
1.0
4.596 0.000 0.000
0.000 4.596 0.000
0.000 0.000 4.596
Li Mn P
3 1 1
Direct
0.000 0.000 0.500
0.000 0.500 0.000
0.500 0.000 0.000
0.500 0.500 0.500
0.000 0.000 0.000
```

Record 2
DFT (GGA-PBEsol) results for a relaxed LiMnPb2 crystal.

Values from the calculation:
Calculated total energy, eV/atom: -4.788
Space group: P4/mmm, No. 123
Formation enthalpy at 0 K, meV per atom: 144
Theoretical density, g cm⁻³: 9.3

The structure in POSCAR format:
```
LiMnPb2
1.0
3.432 0.000 0.000
0.000 3.432 0.000
0.000 0.000 7.226
Li Mn Pb
1 1 2
Direct
0.000 0.000 0.000
0.000 0.000 0.500
0.500 0.500 0.262
0.500 0.500 0.738
```

Record 3
DFT (GGA-PBEsol) results for a relaxed LiMnPb2 crystal.

Values from the calculation:
Calculated total energy, eV/atom: -4.778
Space group: Cmmm, No. 65
Formation enthalpy at 0 K, meV per atom: 153
Theoretical density, g cm⁻³: 9.3

The structure in POSCAR format:
```
LiMnPb2
1.0
6.999 0.000 0.000
0.000 7.020 0.000
0.000 0.000 3.446
Li Mn Pb
2 2 4
Direct
0.000 0.000 0.000
0.500 0.500 0.000
0.000 0.500 0.000
0.500 0.000 0.000
0.250 0.250 0.500
0.250 0.750 0.500
0.750 0.250 0.500
0.750 0.750 0.500
```

Record 4
DFT (GGA-PBEsol) results for a relaxed LiMnPb3 crystal.

Values from the calculation:
Calculated total energy, eV/atom: -4.466
Space group: Pm-3m, No. 221
Formation enthalpy at 0 K, meV per atom: 279
Theoretical density, g cm⁻³: 8.1

The structure in POSCAR format:
```
LiMnPb3
1.0
5.187 0.000 0.000
0.000 5.187 0.000
0.000 0.000 5.187
Li Mn Pb
1 1 3
Direct
0.000 0.000 0.000
0.500 0.500 0.500
0.000 0.500 0.500
0.500 0.000 0.500
0.500 0.500 0.000
```

Record 5
DFT (GGA-PBEsol) results for a relaxed Li2MnPbSe crystal.

Values from the calculation:
Calculated total energy, eV/atom: -4.494
Space group: P4/mmm, No. 123
Uncorrected formation energy, eV per atom: -0.19
Theoretical density, g cm⁻³: 5.7

The structure in POSCAR format:
```
Li2MnPbSe
1.0
4.634 0.000 0.000
0.000 4.634 0.000
0.000 0.000 4.819
Li Mn Pb Se
2 1 1 1
Direct
0.000 0.500 0.000
0.500 0.000 0.000
0.000 0.000 0.500
0.500 0.500 0.500
0.000 0.000 0.000
```

Record 6
DFT (GGA-PBEsol) results for a relaxed Li2MnPt crystal.

Values from the calculation:
ΔE to the lowest computed polymorph, eV/f.u.: 0.30
Calculated total energy, eV/atom: -5.210
Space group: Fm-3m, No. 225
Formation enthalpy at 0 K, meV per atom: -46
Theoretical density, g cm⁻³: 8.5

The structure in POSCAR format:
```
Li2MnPt
1.0
5.899 0.000 0.000
0.000 5.899 0.000
0.000 0.000 5.899
Li Mn Pt
8 4 4
Direct
0.250 0.250 0.250
0.250 0.250 0.750
0.250 0.750 0.250
0.250 0.750 0.750
0.750 0.250 0.250
0.750 0.250 0.750
0.750 0.750 0.250
0.750 0.750 0.750
0.000 0.000 0.000
0.000 0.500 0.500
0.500 0.000 0.500
0.500 0.500 0.000
0.000 0.000 0.500
0.000 0.500 0.000
0.500 0.000 0.000
0.500 0.500 0.500
```

Record 7
DFT (GGA-PBEsol) results for a relaxed Li2MnPt crystal.

Values from the calculation:
ΔE to the lowest computed polymorph, eV/f.u.: 0.00
Calculated total energy, eV/atom: -5.285
Space group: C2/m, No. 12
Formation enthalpy at 0 K, meV per atom: -121
Theoretical density, g cm⁻³: 8.0

The structure in POSCAR format:
```
Li2MnPt
1.0
5.132 0.000 0.000
0.000 9.009 0.000
-1.301 0.000 2.371
Li Mn Pt
4 2 2
Direct
0.250 0.250 0.000
0.250 0.750 0.000
0.750 0.250 0.000
0.750 0.750 0.000
0.000 0.000 0.500
0.500 0.500 0.500
0.000 0.500 0.500
0.500 0.000 0.500
```

Record 8
DFT (GGA-PBEsol) results for a relaxed LiMnPt3 crystal.

Values from the calculation:
Calculated total energy, eV/atom: -6.137
Space group: Pm-3m, No. 221
Formation enthalpy at 0 K, meV per atom: 387
Theoretical density, g cm⁻³: 14.9

The structure in POSCAR format:
```
LiMnPt3
1.0
4.158 0.000 0.000
0.000 4.158 0.000
0.000 0.000 4.158
Li Mn Pt
1 1 3
Direct
0.000 0.000 0.000
0.500 0.500 0.500
0.000 0.000 0.500
0.000 0.500 0.000
0.500 0.000 0.000
```

Record 9
DFT (GGA-PBEsol) results for a relaxed Li2MnPt crystal.

Values from the calculation:
ΔE to the lowest computed polymorph, eV/f.u.: 0.76
Calculated total energy, eV/atom: -5.094
Space group: P4/mmm, No. 123
Formation enthalpy at 0 K, meV per atom: 70
Theoretical density, g cm⁻³: 7.7

The structure in POSCAR format:
```
Li2MnPt
1.0
2.689 0.000 0.000
0.000 2.689 0.000
0.000 0.000 7.915
Li Mn Pt
2 1 1
Direct
0.000 0.000 0.222
0.000 0.000 0.778
0.500 0.500 0.500
0.500 0.500 0.000
```

Record 10
DFT (GGA-PBEsol) results for a relaxed RbLiTaMn2 crystal.

Values from the calculation:
Calculated total energy, eV/atom: -5.248
Space group: P4/mmm, No. 123
Formation enthalpy at 0 K, meV per atom: 1765
Theoretical density, g cm⁻³: 5.9

The structure in POSCAR format:
```
RbLiTaMn2
1.0
4.808 0.000 0.000
0.000 4.808 0.000
0.000 0.000 4.682
Rb Li Ta Mn
1 1 1 2
Direct
0.000 0.000 0.000
0.500 0.500 0.500
0.500 0.500 0.000
0.000 0.500 0.500
0.500 0.000 0.500
```

Record 11
DFT (GGA-PBEsol) results for a relaxed LiMn2Re crystal.

Values from the calculation:
Calculated total energy, eV/atom: -8.351
Space group: Immm, No. 71
Formation enthalpy at 0 K, meV per atom: 354
Theoretical density, g cm⁻³: 11.0

The structure in POSCAR format:
```
LiMn2Re
1.0
2.896 0.000 0.000
0.000 4.051 0.000
0.000 0.000 7.818
Li Mn Re
2 4 2
Direct
0.000 0.000 0.000
0.500 0.500 0.500
0.000 0.500 0.243
0.000 0.500 0.757
0.500 0.000 0.257
0.500 0.000 0.743
0.000 0.000 0.500
0.500 0.500 0.000
```

Record 12
DFT (GGA-PBEsol) results for a relaxed Li2MnRe crystal.

Values from the calculation:
ΔE to the lowest computed polymorph, eV/f.u.: 0.48
Calculated total energy, eV/atom: -6.214
Space group: P4/mmm, No. 123
Formation enthalpy at 0 K, meV per atom: 543
Theoretical density, g cm⁻³: 8.1

The structure in POSCAR format:
```
Li2MnRe
1.0
2.432 0.000 0.000
0.000 2.432 0.000
0.000 0.000 8.863
Li Mn Re
2 1 1
Direct
0.000 0.000 0.245
0.000 0.000 0.755
0.500 0.500 0.000
0.500 0.500 0.500
```

Record 13
DFT (GGA-PBEsol) results for a relaxed Li2MnRe crystal.

Values from the calculation:
ΔE to the lowest computed polymorph, eV/f.u.: 0.00
Calculated total energy, eV/atom: -6.334
Space group: F-43m, No. 216
Formation enthalpy at 0 K, meV per atom: 423
Theoretical density, g cm⁻³: 9.1

The structure in POSCAR format:
```
Li2MnRe
1.0
5.719 0.000 0.000
0.000 5.719 0.000
0.000 0.000 5.719
Li Mn Re
8 4 4
Direct
0.000 0.000 0.000
0.000 0.500 0.500
0.250 0.250 0.250
0.250 0.750 0.750
0.500 0.000 0.500
0.500 0.500 0.000
0.750 0.250 0.750
0.750 0.750 0.250
0.250 0.250 0.750
0.250 0.750 0.250
0.750 0.250 0.250
0.750 0.750 0.750
0.000 0.000 0.500
0.000 0.500 0.000
0.500 0.000 0.000
0.500 0.500 0.500
```

Record 14
DFT (GGA-PBEsol) results for a relaxed LiMnRh2 crystal.

Values from the calculation:
Calculated total energy, eV/atom: -7.075
Space group: P4/mmm, No. 123
Formation enthalpy at 0 K, meV per atom: -74
Theoretical density, g cm⁻³: 9.0

The structure in POSCAR format:
```
LiMnRh2
1.0
4.099 0.000 0.000
0.000 4.099 0.000
0.000 0.000 2.933
Li Mn Rh
1 1 2
Direct
0.000 0.000 0.000
0.500 0.500 0.000
0.000 0.500 0.500
0.500 0.000 0.500
```

Record 15
DFT (GGA-PBEsol) results for a relaxed LiMn2Rh crystal.

Values from the calculation:
Calculated total energy, eV/atom: -7.014
Space group: Cmmm, No. 65
Formation enthalpy at 0 K, meV per atom: 392
Theoretical density, g cm⁻³: 6.5

The structure in POSCAR format:
```
LiMn2Rh
1.0
2.883 0.000 0.000
0.000 4.450 0.000
0.000 0.000 8.692
Li Mn Rh
2 4 2
Direct
0.000 0.000 0.000
0.500 0.500 0.000
0.000 0.500 0.263
0.000 0.500 0.737
0.500 0.000 0.263
0.500 0.000 0.737
0.000 0.000 0.500
0.500 0.500 0.500
```

Record 16
DFT (GGA-PBEsol) results for a relaxed LiMnRh2 crystal.

Values from the calculation:
Calculated total energy, eV/atom: -6.962
Space group: Cmmm, No. 65
Formation enthalpy at 0 K, meV per atom: 39
Theoretical density, g cm⁻³: 8.3

The structure in POSCAR format:
```
LiMnRh2
1.0
2.884 0.000 0.000
0.000 4.487 0.000
0.000 0.000 8.281
Li Mn Rh
2 2 4
Direct
0.000 0.000 0.000
0.500 0.500 0.000
0.000 0.000 0.500
0.500 0.500 0.500
0.000 0.500 0.260
0.000 0.500 0.740
0.500 0.000 0.260
0.500 0.000 0.740
```

Record 17
DFT (GGA-PBEsol) results for a relaxed LiMnRh2 crystal.

Values from the calculation:
Calculated total energy, eV/atom: -6.841
Space group: P4mm, No. 99
Formation enthalpy at 0 K, meV per atom: 160
Theoretical density, g cm⁻³: 8.8

The structure in POSCAR format:
```
LiMnRh2
1.0
3.085 0.000 0.000
0.000 3.085 0.000
0.000 0.000 5.329
Li Mn Rh
1 1 2
Direct
0.000 0.000 0.000
0.500 0.500 0.257
0.000 0.000 0.485
0.500 0.500 0.788
```

Record 18
DFT (GGA-PBEsol) results for a relaxed LiMnRh2 crystal.

Values from the calculation:
Calculated total energy, eV/atom: -6.998
Space group: C2/m, No. 12
Formation enthalpy at 0 K, meV per atom: 3
Theoretical density, g cm⁻³: 8.6

The structure in POSCAR format:
```
LiMnRh2
1.0
8.368 0.000 0.000
0.000 2.696 0.000
-0.870 0.000 4.582
Li Mn Rh
2 2 4
Direct
0.000 0.000 0.000
0.500 0.500 0.000
0.000 0.500 0.500
0.500 0.000 0.500
0.244 0.000 0.749
0.256 0.500 0.251
0.744 0.500 0.749
0.756 0.000 0.251
```

Record 19
DFT (GGA-PBEsol) results for a relaxed LiMnRh2 crystal.

Values from the calculation:
Calculated total energy, eV/atom: -6.957
Space group: Pmm2, No. 25
Formation enthalpy at 0 K, meV per atom: 44
Theoretical density, g cm⁻³: 8.7

The structure in POSCAR format:
```
LiMnRh2
1.0
2.652 0.000 0.000
0.000 3.831 0.000
0.000 0.000 5.015
Li Mn Rh
1 1 2
Direct
0.000 0.000 0.000
0.500 0.500 0.261
0.000 0.000 0.500
0.500 0.500 0.771
```

Record 20
DFT (GGA-PBEsol) results for a relaxed LiMn2Rh crystal.

Values from the calculation:
Calculated total energy, eV/atom: -7.189
Space group: Cmm2, No. 35
Formation enthalpy at 0 K, meV per atom: 217
Theoretical density, g cm⁻³: 7.4

The structure in POSCAR format:
```
LiMn2Rh
1.0
2.745 0.000 0.000
0.000 4.272 0.000
0.000 0.000 8.395
Li Mn Rh
2 4 2
Direct
0.000 0.000 0.000
0.500 0.500 0.000
0.000 0.000 0.488
0.000 0.500 0.270
0.500 0.000 0.270
0.500 0.500 0.488
0.000 0.500 0.741
0.500 0.000 0.741
```

Record 21
DFT (GGA-PBEsol) results for a relaxed LiMn2Rh crystal.

Values from the calculation:
Calculated total energy, eV/atom: -7.319
Space group: F-43m, No. 216
Formation enthalpy at 0 K, meV per atom: 88
Theoretical density, g cm⁻³: 7.5

The structure in POSCAR format:
```
LiMn2Rh
1.0
5.803 0.000 0.000
0.000 5.803 0.000
0.000 0.000 5.803
Li Mn Rh
4 8 4
Direct
0.000 0.000 0.000
0.000 0.500 0.500
0.500 0.000 0.500
0.500 0.500 0.000
0.000 0.000 0.500
0.000 0.500 0.000
0.250 0.250 0.250
0.250 0.750 0.750
0.500 0.000 0.000
0.500 0.500 0.500
0.750 0.250 0.750
0.750 0.750 0.250
0.250 0.250 0.750
0.250 0.750 0.250
0.750 0.250 0.250
0.750 0.750 0.750
```

Record 22
DFT (GGA-PBEsol) results for a relaxed LiMn2Ru crystal.

Values from the calculation:
Calculated total energy, eV/atom: -7.661
Space group: Imm2, No. 44
Formation enthalpy at 0 K, meV per atom: 254
Theoretical density, g cm⁻³: 7.6

The structure in POSCAR format:
```
LiMn2Ru
1.0
2.825 0.000 0.000
0.000 4.170 0.000
0.000 0.000 8.033
Li Mn Ru
2 4 2
Direct
0.000 0.000 0.000
0.500 0.500 0.500
0.000 0.000 0.487
0.000 0.500 0.758
0.500 0.000 0.258
0.500 0.500 0.987
0.000 0.500 0.236
0.500 0.000 0.736
```

Record 23
DFT (GGA-PBEsol) results for a relaxed LiMnRu3 crystal.

Values from the calculation:
Calculated total energy, eV/atom: -7.199
Space group: Pm-3m, No. 221
Formation enthalpy at 0 K, meV per atom: 1250
Theoretical density, g cm⁻³: 7.4

The structure in POSCAR format:
```
LiMnRu3
1.0
4.349 0.000 0.000
0.000 4.349 0.000
0.000 0.000 4.349
Li Mn Ru
1 1 3
Direct
0.000 0.000 0.000
0.500 0.500 0.500
0.000 0.500 0.500
0.500 0.000 0.500
0.500 0.500 0.000
```

Record 24
DFT (GGA-PBEsol) results for a relaxed LiMn2Ru crystal.

Values from the calculation:
Calculated total energy, eV/atom: -7.519
Space group: I4/mmm, No. 139
Formation enthalpy at 0 K, meV per atom: 396
Theoretical density, g cm⁻³: 8.3

The structure in POSCAR format:
```
LiMn2Ru
1.0
3.304 0.000 0.000
0.000 3.304 0.000
0.000 0.000 8.007
Li Mn Ru
2 4 2
Direct
0.000 0.000 0.000
0.500 0.500 0.500
0.000 0.500 0.250
0.000 0.500 0.750
0.500 0.000 0.250
0.500 0.000 0.750
0.000 0.000 0.500
0.500 0.500 0.000
```

Record 25
DFT (GGA-PBEsol) results for a relaxed LiMnRu2 crystal.

Values from the calculation:
ΔE to the lowest computed polymorph, eV/f.u.: 0.27
Calculated total energy, eV/atom: -7.698
Space group: I-4m2, No. 119
Formation enthalpy at 0 K, meV per atom: 321
Theoretical density, g cm⁻³: 8.9

The structure in POSCAR format:
```
LiMnRu2
1.0
3.579 0.000 0.000
0.000 3.579 0.000
0.000 0.000 7.701
Li Mn Ru
2 2 4
Direct
0.000 0.000 0.000
0.500 0.500 0.500
0.000 0.500 0.250
0.500 0.000 0.750
0.000 0.000 0.500
0.000 0.500 0.750
0.500 0.000 0.250
0.500 0.500 0.000
```

Record 26
DFT (GGA-PBEsol) results for a relaxed LiMnRu2 crystal.

Values from the calculation:
ΔE to the lowest computed polymorph, eV/f.u.: 0.00
Calculated total energy, eV/atom: -7.766
Space group: C2/m, No. 12
Formation enthalpy at 0 K, meV per atom: 252
Theoretical density, g cm⁻³: 8.7

The structure in POSCAR format:
```
LiMnRu2
1.0
8.426 0.000 0.000
0.000 2.632 0.000
-0.818 0.000 4.537
Li Mn Ru
2 2 4
Direct
0.000 0.000 0.000
0.500 0.500 0.000
0.000 0.500 0.500
0.500 0.000 0.500
0.239 0.000 0.749
0.261 0.500 0.251
0.739 0.500 0.749
0.761 0.000 0.251
```

Record 27
DFT (GGA-PBEsol) results for a relaxed LiMn2Ru crystal.

Values from the calculation:
Calculated total energy, eV/atom: -7.571
Space group: Pmmm, No. 47
Formation enthalpy at 0 K, meV per atom: 345
Theoretical density, g cm⁻³: 8.1

The structure in POSCAR format:
```
LiMn2Ru
1.0
2.527 0.000 0.000
0.000 3.811 0.000
0.000 0.000 4.631
Li Mn Ru
1 2 1
Direct
0.000 0.000 0.000
0.500 0.500 0.224
0.500 0.500 0.776
0.000 0.000 0.500
```

Record 28
DFT (GGA-PBEsol) results for a relaxed Li6MnS4 crystal.

Values from the calculation:
Calculated total energy, eV/atom: -4.734
Space group: P4_2/nmc, No. 137
Uncorrected formation energy, eV per atom: -1.18
Theoretical density, g cm⁻³: 2.1

The structure in POSCAR format:
```
Li6MnS4
1.0
7.926 0.000 0.000
0.000 7.926 0.000
0.000 0.000 5.736
Li Mn S
12 2 8
Direct
0.024 0.524 0.250
0.024 0.976 0.250
0.250 0.250 0.211
0.250 0.250 0.711
0.476 0.524 0.250
0.476 0.976 0.250
0.524 0.024 0.750
0.524 0.476 0.750
0.750 0.750 0.289
0.750 0.750 0.789
0.976 0.024 0.750
0.976 0.476 0.750
0.250 0.750 0.750
0.750 0.250 0.250
0.006 0.250 0.465
0.250 0.006 0.965
0.250 0.494 0.965
0.494 0.250 0.465
0.506 0.750 0.535
0.750 0.506 0.035
0.750 0.994 0.035
0.994 0.750 0.535
```

Record 29
DFT (GGA-PBEsol) results for a relaxed Li2MnS crystal.

Values from the calculation:
Calculated total energy, eV/atom: -4.762
Space group: I-42d, No. 122
Uncorrected formation energy, eV per atom: -0.24
Theoretical density, g cm⁻³: 2.6

The structure in POSCAR format:
```
Li2MnS
1.0
7.624 0.000 0.000
0.000 7.624 0.000
0.000 0.000 4.453
Li Mn S
8 4 4
Direct
0.160 0.750 0.125
0.250 0.160 0.875
0.250 0.340 0.375
0.340 0.750 0.625
0.660 0.250 0.625
0.750 0.660 0.375
0.750 0.840 0.875
0.840 0.250 0.125
0.000 0.000 0.500
0.000 0.500 0.750
0.500 0.000 0.250
0.500 0.500 0.000
0.000 0.000 0.000
0.000 0.500 0.250
0.500 0.000 0.750
0.500 0.500 0.500
```